# GGA-PBEsol Ca2ZrBe, relaxed
# E_form   0.207 eV/atom
data_Ca2ZrBe
_chemical_formula_sum 'Ca2 Zr1 Be1'
_space_group_name_H-M_alt 'P 1'
_space_group_IT_number 1
_cell_length_a 3.326
_cell_length_b 3.326
_cell_length_c 9.117
_cell_angle_alpha 90.00
_cell_angle_beta 90.00
_cell_angle_gamma 90.00
loop_
_space_group_symop_operation_xyz
'x,y,z'
loop_
_atom_site_label
_atom_site_fract_x
_atom_site_fract_y
_atom_site_fract_z
Ca1 0.000 0.000 0.000
Ca2 0.500 0.500 0.356
Zr1 0.500 0.500 0.709
Be1 0.000 0.000 0.570